Entry 1:
Li2CoOs PBE optimized geometry; energy above the lowest structure with this stoichiometry = 0.019 eV/atom; DFT formation energy = 0.1459 eV/atom; density = 8.3 Mg/m³; symmetry = No. 166
1.0
1.2975 0.7491 9.0028
-1.2975 0.7491 9.0028
0.0000 -1.4982 9.0028
Li Co Os
2 1 1
direct
0.2482 0.2482 0.2482
0.7518 0.7518 0.7518
0.5000 0.5000 0.5000
0.0000 0.0000 0.0000


Entry 2:
CrReAu2 PBE optimized geometry; energy above the lowest structure with this stoichiometry = 0.158 eV/atom; DFT formation energy = 0.4264 eV/atom; density = 16.5 Mg/m³; symmetry = No. 119
1.0
-1.9986 1.9986 3.9748
1.9986 -1.9986 3.9748
1.9986 1.9986 -3.9748
Cr Re Au
1 1 2
direct
0.0000 0.0000 0.0000
0.2500 0.7500 0.5000
0.5000 0.5000 0.0000
0.7500 0.2500 0.5000


Entry 3:
KCrTc2 PBE optimized geometry; energy above the lowest structure with this stoichiometry = 0.781 eV/atom; DFT formation energy = 1.5292 eV/atom; density = 6.6 Mg/m³; symmetry = No. 123
1.0
3.7672 0.0000 0.0000
0.0000 3.7672 0.0000
0.0000 0.0000 5.0694
K Cr Tc
1 1 2
direct
0.0000 0.0000 0.0000
0.5000 0.5000 0.0000
0.0000 0.5000 0.5000
0.5000 0.0000 0.5000


Entry 4:
NbFe4Ni12 PBE optimized geometry; DFT formation energy = 0.1667 eV/atom; density = 8.2 Mg/m³; symmetry = No. 229
1.0
-3.7308 3.7308 3.7308
3.7308 -3.7308 3.7308
3.7308 3.7308 -3.7308
Nb Fe Ni
1 4 12
direct
0.0000 0.0000 0.0000
0.0000 0.0000 0.5000
0.0000 0.5000 0.0000
0.5000 0.0000 0.0000
0.5000 0.5000 0.5000
0.0000 0.3099 0.3099
0.0000 0.6901 0.6901
0.2500 0.5000 0.7500
0.2500 0.7500 0.5000
0.3099 0.0000 0.3099
0.3099 0.3099 0.0000
0.5000 0.2500 0.7500
0.5000 0.7500 0.2500
0.6901 0.0000 0.6901
0.6901 0.6901 0.0000
0.7500 0.2500 0.5000
0.7500 0.5000 0.2500


Entry 5:
AgRu3 PBE optimized geometry; DFT formation energy = 0.5335 eV/atom; density = 11.6 Mg/m³; symmetry = No. 65
1.0
2.7546 -3.9024 0.0000
2.7546 3.9024 0.0000
0.0000 0.0000 2.7341
Ag Ru
1 3
direct
0.0000 0.0000 0.0000
0.0000 0.5000 0.5000
0.5000 0.0000 0.5000
0.5000 0.5000 0.0000


Entry 6:
Sm2Dy6Ho3 PBE optimized geometry; DFT formation energy = 0.2783 eV/atom; density = 8.0 Mg/m³; symmetry = No. 139
1.0
-2.3586 2.3586 16.5773
2.3586 -2.3586 16.5773
2.3586 2.3586 -16.5773
Sm Dy Ho
2 6 3
direct
0.0459 0.0459 0.0000
0.9541 0.9541 0.0000
0.1218 0.6218 0.5000
0.1965 0.1965 0.0000
0.3782 0.8782 0.5000
0.6218 0.1218 0.5000
0.8035 0.8035 0.0000
0.8782 0.3782 0.5000
0.2995 0.2995 0.0000
0.5000 0.5000 0.0000
0.7005 0.7005 0.0000


Entry 7:
MnZn2Co PBE optimized geometry; energy above the lowest structure with this stoichiometry = 0.065 eV/atom; DFT formation energy = 0.0216 eV/atom; density = 7.9 Mg/m³; symmetry = No. 12
1.0
2.6224 -3.6682 0.0000
2.6224 3.6682 0.0000
-0.0185 0.0000 2.6897
Mn Zn Co
1 2 1
direct
0.0000 0.0000 0.0000
0.0000 0.5000 0.5000
0.5000 0.0000 0.5000
0.5000 0.5000 0.0000


Entry 8:
PmScZnO4 PBE optimized geometry; density = 5.3 Mg/m³; E_form (uncorrected) = -2708.0 meV/atom; symmetry = No. 74
1.0
-3.1923 3.3754 4.6112
3.1923 -3.3754 4.6112
3.1923 3.3754 -4.6112
Pm Sc Zn O
2 2 2 8
direct
0.0000 0.0000 0.0000
0.5000 0.0000 0.5000
0.5000 0.0000 0.0000
0.5000 0.5000 0.5000
0.1353 0.3853 0.7500
0.8647 0.6147 0.2500
0.2668 0.2655 0.4987
0.2668 0.7681 0.0013
0.2774 0.7474 0.5300
0.2826 0.2526 0.0300
0.7174 0.7474 0.9700
0.7226 0.2526 0.4700
0.7332 0.2319 0.9987
0.7332 0.7345 0.5013